Crystalline BaSb2Se at its relaxed geometry. Source: the Alexandria database, functional GGA-PBE.

Cell and atoms, written as POSCAR:
```
BaSb2Se
1.0
4.5243 0.0000 0.0000
0.0000 4.5243 0.0000
0.0000 0.0000 7.1718
Sb Ba Se
2 1 1
direct
0.0000 0.0000 0.0605
0.5000 0.5000 0.1254
0.5000 0.5000 0.6308
0.0000 0.0000 0.6833
```

space-group type	P4mm, No. 99
formation energy from raw total energies	-0.78	eV per atom
density of states at the Fermi level	1.31	states/eV/cell